Na3Tl3Pb after structural relaxation. Source: the Alexandria database, functional PBE.

For the total magnetization, the calculation gives 0.000 μB per formula unit. As for the total DFT energy (no corrections): -31.022 eV/cell. As for the formation energy: -0.1067 eV/atom. As for the polymorph energy (0 for the lowest one): 0.0 meV per atom. The volume comes out at 405.25 Å³ per cell.

The structure belongs to space group P6_3/m (No. 176); the cell edges are 9.0926, 9.0926 and 5.6599 Å and the angles 90.00°, 90.00° and 120.00°. The asymmetric unit holds Na at (0.0964, 0.4709, 0.2500), Tl at (0.0454, 0.2380, 0.7500) and Pb at (0.3333, 0.6667, 0.7500).

---

Sr2MgCu after structural relaxation. Source: the Alexandria database, functional PBE.

For the total magnetization, the calculation gives 0.000 μB per formula unit. As for the total DFT energy (no corrections): -8.960 eV/cell. As for the formation energy: 0.0237 eV/atom. The volume comes out at 126.85 Å³ per cell.

The structure belongs to space group P4mm (No. 99); the cell edges are 3.757, 3.757 and 8.987 Å and the angles 90.00°, 90.00° and 90.00°. The asymmetric unit holds Sr at (0.000, 0.000, 0.000), Sr at (0.500, 0.500, 0.379), Mg at (0.500, 0.500, 0.736) and Cu at (0.000, 0.000, 0.611).

---

Ce5PuC4 after structural relaxation. Source: the Alexandria database, functional PBE.

For the total magnetization, the calculation gives 5.320 μB per formula unit. As for the total DFT energy (no corrections): -163.334 eV/cell. As for the formation energy: -0.0770 eV/atom. The volume comes out at 400.43 Å³ per cell.

The structure belongs to space group C2/m (No. 12); the cell edges are 15.774, 3.562 and 7.287 Å and the angles 90.00°, 102.07° and 90.00°. The asymmetric unit holds Ce at (0.000, 0.000, 0.000), Ce at (0.160, 0.500, 0.809), Ce at (0.166, 0.500, 0.340), Pu at (0.000, 0.000, 0.500), C at (0.003, 0.500, 0.748) and C at (0.168, 0.000, 0.580).

---

MgCd2Ni2 after structural relaxation. Source: the Alexandria database, functional PBE.

For the total magnetization, the calculation gives 0.000 μB per formula unit. As for the total DFT energy (no corrections): -29.343 eV/cell. As for the formation energy: 0.0632 eV/atom. As for the polymorph energy (0 for the lowest one): 89.8 meV per atom. The volume comes out at 168.98 Å³ per cell.

The structure belongs to space group P4/mbm (No. 127); the cell edges are 7.573, 7.573 and 2.947 Å and the angles 90.00°, 90.00° and 90.00°. The asymmetric unit holds Mg at (0.000, 0.000, 0.000), Cd at (0.135, 0.365, 0.000) and Ni at (0.164, 0.664, 0.500).

---

MnCu2Te after structural relaxation. Source: the Alexandria database, functional PBE.

For the total magnetization, the calculation gives 4.093 μB per formula unit. The value obtained for the raw formation energy is 438 meV per atom. As for the total DFT energy (no corrections): -56.250 eV/cell. The volume comes out at 209.20 Å³ per cell.

The structure belongs to space group R-3m (No. 166, hexagonal axes); the cell edges are 3.1406, 3.1406 and 24.4907 Å and the angles 90.00°, 90.00° and 120.00°. The asymmetric unit holds Mn at (0.0000, 0.0000, 0.0000), Cu at (0.0000, 0.0000, 0.2579) and Te at (0.0000, 0.0000, 0.5000).

---

Ta2NbRu2 after structural relaxation. Source: the Alexandria database, functional PBE.

For the total magnetization, the calculation gives 0.000 μB per formula unit. As for the total DFT energy (no corrections): -105.520 eV/cell. As for the formation energy: -0.0866 eV/atom. As for the polymorph energy (0 for the lowest one): 0.0 meV per atom. The volume comes out at 170.12 Å³ per cell.

The structure belongs to space group P4/mbm (No. 127); the cell edges are 7.560, 7.560 and 2.977 Å and the angles 90.00°, 90.00° and 90.00°. The asymmetric unit holds Ta at (0.152, 0.348, 0.000), Nb at (0.000, 0.000, 0.000) and Ru at (0.148, 0.648, 0.500).